1.
VASP calculation (PBE) on a relaxed structure of PmZrTcAg.

Output
energy of formation	-0.15	eV per formula unit

Cell and atoms, written as CIF:
```
data_PmZrTcAg
_cell_length_a 6.957
_cell_length_b 6.957
_cell_length_c 6.957
_cell_angle_alpha 90.00
_cell_angle_beta 90.00
_cell_angle_gamma 90.00
_symmetry_space_group_name_H-M 'F -4 3 m'
_symmetry_Int_Tables_number 216
_symmetry_space_group_name_Hall 'F -4 2 3'
loop_
_atom_site_label
_atom_site_type_symbol
_atom_site_fract_x
_atom_site_fract_y
_atom_site_fract_z
_atom_site_occupancy
Pm1 Pm 0.000 0.000 0.000 1
Zr1 Zr 0.000 0.000 0.500 1
Tc1 Tc 0.250 0.250 0.750 1
Ag1 Ag 0.250 0.250 0.250 1
```

2.
VASP calculation (PBE) on a relaxed structure of DyTmNbN3.

Output
formation energy (no corrections)	-8.7	eV/f.u.

Cell and atoms, written as CIF:
```
data_DyTmNbN3
_cell_length_a 5.726
_cell_length_b 3.313
_cell_length_c 8.565
_cell_angle_alpha 90.00
_cell_angle_beta 103.03
_cell_angle_gamma 90.00
_symmetry_space_group_name_H-M 'P 1 21/m 1'
_symmetry_Int_Tables_number 11
loop_
_symmetry_equiv_pos_as_xyz
'x,y,z'
'-x,-y,-z'
'-x,y+1/2,-z'
'x,-y+1/2,z'
loop_
_atom_site_label
_atom_site_type_symbol
_atom_site_fract_x
_atom_site_fract_y
_atom_site_fract_z
_atom_site_occupancy
Dy1 Dy 0.153 0.250 0.188 1
Tm1 Tm 0.270 0.750 0.548 1
Nb1 Nb 0.364 0.250 0.865 1
N1 N 0.058 0.250 0.677 1
N2 N 0.246 0.750 0.990 1
N3 N 0.455 0.750 0.332 1
```

3.
VASP calculation (PBE) on a relaxed structure of LiNdGd.

Output
excess energy over the best structure of this formula in the dataset	0	kJ/mol of formula units
energy of formation	0.21	eV per formula unit

Cell and atoms, written as CIF:
```
data_LiNdGd
_cell_length_a 3.699
_cell_length_b 3.699
_cell_length_c 12.874
_cell_angle_alpha 90.00
_cell_angle_beta 90.00
_cell_angle_gamma 90.00
_symmetry_space_group_name_H-M 'I 4 m m'
_symmetry_Int_Tables_number 107
_symmetry_space_group_name_Hall 'I 4 -2'
loop_
_atom_site_label
_atom_site_type_symbol
_atom_site_fract_x
_atom_site_fract_y
_atom_site_fract_z
_atom_site_occupancy
Li1 Li 0.000 0.000 0.000 1
Nd1 Nd 0.000 0.000 0.342 1
Gd1 Gd 0.000 0.000 0.654 1
```

4.
VASP calculation (PBE) on a relaxed structure of BiAsSe2Cl.

Output
excess energy over the best structure of this formula in the dataset	26	kJ/mol of formula units
formation energy (no corrections)	3.8	eV/f.u.

Cell and atoms, written as CIF:
```
data_BiAsSe2Cl
_cell_length_a 5.515
_cell_length_b 5.515
_cell_length_c 5.746
_cell_angle_alpha 90.00
_cell_angle_beta 90.00
_cell_angle_gamma 90.00
_symmetry_space_group_name_H-M 'P 4/m m m'
_symmetry_Int_Tables_number 123
_symmetry_space_group_name_Hall '-P 4 2'
loop_
_atom_site_label
_atom_site_type_symbol
_atom_site_fract_x
_atom_site_fract_y
_atom_site_fract_z
_atom_site_occupancy
Bi1 Bi 0.000 0.000 0.000 1
As1 As 0.000 0.000 0.500 1
Se1 Se 0.000 0.500 0.000 1
Cl1 Cl 0.500 0.500 0.500 1
```

5.
VASP calculation (PBE) on a relaxed structure of Si3BMo.

Output
excess energy over the best structure of this formula in the dataset	230	kJ/mol of formula units
formation energy (no corrections)	6.8	eV/f.u.

Cell and atoms, written as CIF:
```
data_Si3BMo
_cell_length_a 4.724
_cell_length_b 4.724
_cell_length_c 4.724
_cell_angle_alpha 90.00
_cell_angle_beta 90.00
_cell_angle_gamma 90.00
_symmetry_space_group_name_H-M 'P m -3 m'
_symmetry_Int_Tables_number 221
_symmetry_space_group_name_Hall '-P 4 2 3'
loop_
_atom_site_label
_atom_site_type_symbol
_atom_site_fract_x
_atom_site_fract_y
_atom_site_fract_z
_atom_site_occupancy
Si1 Si 0.000 0.000 0.500 1
B1 B 0.500 0.500 0.500 1
Mo1 Mo 0.000 0.000 0.000 1
```

6.
VASP calculation (PBE) on a relaxed structure of K2HfH.

Output
excess energy over the best structure of this formula in the dataset	0	kJ/mol of formula units

Cell and atoms, written as CIF:
```
data_K2HfH
_cell_length_a 12.728
_cell_length_b 12.728
_cell_length_c 3.797
_cell_angle_alpha 90.00
_cell_angle_beta 90.00
_cell_angle_gamma 90.00
_symmetry_space_group_name_H-M 'I -4 2 d'
_symmetry_Int_Tables_number 122
_symmetry_space_group_name_Hall 'I -4 2bw'
loop_
_atom_site_label
_atom_site_type_symbol
_atom_site_fract_x
_atom_site_fract_y
_atom_site_fract_z
_atom_site_occupancy
K1 K 0.087 0.250 0.125 1
Hf1 Hf 0.000 0.000 0.500 1
H1 H 0.000 0.000 0.000 1
```